Entry 1:
## KBa2LaAu (PBE)

Data for crystalline KBa2LaAu at its relaxed geometry.

- Energy relative to the elements: -156 meV/atom
- Crystal system: tetragonal

The structure in CIF format:
```
data_KBa2LaAu
_cell_length_a 6.6732
_cell_length_b 6.6732
_cell_length_c 5.8806
_cell_angle_alpha 90.00
_cell_angle_beta 90.00
_cell_angle_gamma 90.00
_symmetry_space_group_name_H-M 'P 1'
_symmetry_Int_Tables_number 1
loop_
_symmetry_equiv_pos_as_xyz
'x,y,z'
loop_
_atom_site_label
_atom_site_fract_x
_atom_site_fract_y
_atom_site_fract_z
_atom_site_occupancy
Ba1 0.0000 0.5000 0.0000 1
Ba2 0.5000 0.0000 0.0000 1
K1 0.5000 0.5000 0.5000 1
La1 0.0000 0.0000 0.5000 1
Au1 0.0000 0.0000 0.0000 1
```

Entry 2:
## KBa2LiAu (PBE)

Data for crystalline KBa2LiAu at its relaxed geometry.

- Energy relative to the elements: -216 meV/atom
- Crystal system: tetragonal

The structure in CIF format:
```
data_KBa2LiAu
_cell_length_a 6.5058
_cell_length_b 6.5058
_cell_length_c 5.5172
_cell_angle_alpha 90.00
_cell_angle_beta 90.00
_cell_angle_gamma 90.00
_symmetry_space_group_name_H-M 'P 1'
_symmetry_Int_Tables_number 1
loop_
_symmetry_equiv_pos_as_xyz
'x,y,z'
loop_
_atom_site_label
_atom_site_fract_x
_atom_site_fract_y
_atom_site_fract_z
_atom_site_occupancy
K1 0.5000 0.5000 0.5000 1
Ba1 0.0000 0.5000 0.0000 1
Ba2 0.5000 0.0000 0.0000 1
Li1 0.0000 0.0000 0.5000 1
Au1 0.0000 0.0000 0.0000 1
```

Entry 3:
## KBa2LiAu (PBE)

Data for crystalline KBa2LiAu at its relaxed geometry.

- Energy relative to the elements: -149 meV/atom
- Crystal system: tetragonal

The structure in CIF format:
```
data_KBa2LiAu
_cell_length_a 6.4118
_cell_length_b 6.4118
_cell_length_c 6.3826
_cell_angle_alpha 90.00
_cell_angle_beta 90.00
_cell_angle_gamma 90.00
_symmetry_space_group_name_H-M 'P 1'
_symmetry_Int_Tables_number 1
loop_
_symmetry_equiv_pos_as_xyz
'x,y,z'
loop_
_atom_site_label
_atom_site_fract_x
_atom_site_fract_y
_atom_site_fract_z
_atom_site_occupancy
Au1 0.0000 0.0000 0.0000 1
Li1 0.5000 0.5000 0.5000 1
Ba1 0.0000 0.5000 0.0000 1
Ba2 0.5000 0.0000 0.0000 1
K1 0.0000 0.0000 0.5000 1
```

Entry 4:
## KBa2MgAu (PBE)

Data for crystalline KBa2MgAu at its relaxed geometry.

- Energy relative to the elements: -119 meV/atom
- Crystal system: tetragonal

The structure in CIF format:
```
data_KBa2MgAu
_cell_length_a 6.3669
_cell_length_b 6.3669
_cell_length_c 6.2729
_cell_angle_alpha 90.00
_cell_angle_beta 90.00
_cell_angle_gamma 90.00
_symmetry_space_group_name_H-M 'P 1'
_symmetry_Int_Tables_number 1
loop_
_symmetry_equiv_pos_as_xyz
'x,y,z'
loop_
_atom_site_label
_atom_site_fract_x
_atom_site_fract_y
_atom_site_fract_z
_atom_site_occupancy
K1 0.0000 0.0000 0.5000 1
Ba1 0.0000 0.5000 0.0000 1
Ba2 0.5000 0.0000 0.0000 1
Au1 0.0000 0.0000 0.0000 1
Mg1 0.5000 0.5000 0.5000 1
```

Entry 5:
## KBaMg2Au (PBE)

Data for crystalline KBaMg2Au at its relaxed geometry.

- Energy relative to the elements: -165 meV/atom
- Crystal system: tetragonal

The structure in CIF format:
```
data_KBaMg2Au
_cell_length_a 5.4845
_cell_length_b 5.4845
_cell_length_c 6.1531
_cell_angle_alpha 90.00
_cell_angle_beta 90.00
_cell_angle_gamma 90.00
_symmetry_space_group_name_H-M 'P 1'
_symmetry_Int_Tables_number 1
loop_
_symmetry_equiv_pos_as_xyz
'x,y,z'
loop_
_atom_site_label
_atom_site_fract_x
_atom_site_fract_y
_atom_site_fract_z
_atom_site_occupancy
Mg1 0.5000 0.0000 0.0000 1
Mg2 0.0000 0.5000 0.0000 1
K1 0.5000 0.5000 0.5000 1
Ba1 0.0000 0.0000 0.5000 1
Au1 0.0000 0.0000 0.0000 1
```

Entry 6:
## KBa2MgAu (PBE)

Data for crystalline KBa2MgAu at its relaxed geometry.

- Energy relative to the elements: -236 meV/atom
- Crystal system: tetragonal

The structure in CIF format:
```
data_KBa2MgAu
_cell_length_a 6.5259
_cell_length_b 6.5259
_cell_length_c 5.4553
_cell_angle_alpha 90.00
_cell_angle_beta 90.00
_cell_angle_gamma 90.00
_symmetry_space_group_name_H-M 'P 1'
_symmetry_Int_Tables_number 1
loop_
_symmetry_equiv_pos_as_xyz
'x,y,z'
loop_
_atom_site_label
_atom_site_fract_x
_atom_site_fract_y
_atom_site_fract_z
_atom_site_occupancy
Ba1 0.0000 0.5000 0.0000 1
Ba2 0.5000 0.0000 0.0000 1
K1 0.5000 0.5000 0.5000 1
Au1 0.0000 0.0000 0.0000 1
Mg1 0.0000 0.0000 0.5000 1
```

Entry 7:
## KBa2MoAu (PBE)

Data for crystalline KBa2MoAu at its relaxed geometry.

- Energy relative to the elements: 1292 meV/atom
- Crystal system: tetragonal

The structure in CIF format:
```
data_KBa2MoAu
_cell_length_a 6.5337
_cell_length_b 5.3101
_cell_length_c 6.5337
_cell_angle_alpha 90.00
_cell_angle_beta 90.00
_cell_angle_gamma 90.00
_symmetry_space_group_name_H-M 'P 1'
_symmetry_Int_Tables_number 1
loop_
_symmetry_equiv_pos_as_xyz
'x,y,z'
loop_
_atom_site_label
_atom_site_fract_x
_atom_site_fract_y
_atom_site_fract_z
_atom_site_occupancy
K1 0.0000 0.0000 0.0000 1
Ba1 0.5000 0.0000 0.0000 1
Ba2 0.0000 0.0000 0.5000 1
Au1 0.0000 0.5000 0.0000 1
Mo1 0.5000 0.5000 0.5000 1
```

Entry 8:
## KBa2AuN (PBE)

Data for crystalline KBa2AuN at its relaxed geometry.

- ΔE_f (raw): 0.7613 eV per atom
- Crystal system: tetragonal

The structure in CIF format:
```
data_KBa2AuN
_cell_length_a 6.1856
_cell_length_b 4.4607
_cell_length_c 6.1856
_cell_angle_alpha 90.00
_cell_angle_beta 90.00
_cell_angle_gamma 90.00
_symmetry_space_group_name_H-M 'P 1'
_symmetry_Int_Tables_number 1
loop_
_symmetry_equiv_pos_as_xyz
'x,y,z'
loop_
_atom_site_label
_atom_site_fract_x
_atom_site_fract_y
_atom_site_fract_z
_atom_site_occupancy
Ba1 0.0000 0.0000 0.5000 1
Ba2 0.5000 0.0000 0.0000 1
N1 0.0000 0.5000 0.0000 1
K1 0.0000 0.0000 0.0000 1
Au1 0.5000 0.5000 0.5000 1
```